Density functional theory data (PBE+U) for an optimized crystal structure of MnAlMoIrF.

It has space group Cm (No. 8), with a = 9.5847 Å, b = 3.1413 Å, c = 5.3588 Å, α = 90.00°, β = 96.75° and γ = 90.00°. The inequivalent atoms are Mn at (0.0000, 0.0000, 0.0000), Al at (0.2316, 0.5000, 0.1656), Mo at (0.0510, 0.5000, 0.5896), Ir at (0.2711, 0.0000, 0.8148) and F at (0.4104, 0.5000, 0.3696).

The total energy is -6.083 eV/atom.